1.
The following is a DFT calculation (PBE) of a geometry-optimized PrNd7Ho3 structure.

M_tot: 0.00 μB per atom
VASP energy: -4.53 eV/atom
V: 395.4 Å³/cell
energy of formation: 0.1872 eV per atom
space group: P3m1, No. 156
DOS(E_F): 1.60 states/eV/atom

Unit cell a=7.2445 b=7.2445 c=8.6995 alpha=90.00 beta=90.00 gamma=120.00
Fractional positions:
Pr1 0.0000 0.0000 0.0000
Nd1 0.0006 0.5003 0.9826
Nd2 0.3330 0.1665 0.3339
Nd3 0.3333 0.6667 0.3168
Nd4 0.4997 0.5003 0.9826
Nd5 0.4997 0.9994 0.9826
Nd6 0.8335 0.1665 0.3339
Nd7 0.8335 0.6670 0.3339
Ho1 0.1669 0.3337 0.6578
Ho2 0.1669 0.8331 0.6578
Ho3 0.6663 0.8331 0.6578

=====

2.
The following is a DFT calculation (PBE) of a geometry-optimized Dy3YTm3Se8 structure.

uncorrected formation energy: -27.140 eV/f.u.
M_tot: 0.00 μB per atom
VASP energy: -5.91 eV/atom
V: 371.4 Å³/cell
space group: R-3m, No. 166
DOS(E_F): 0.40 states/eV/atom

Unit cell a=8.0704 b=8.0704 c=8.0704 alpha=59.97 beta=59.97 gamma=59.97
Fractional positions:
Dy1 0.0000 0.5000 0.5000
Dy2 0.5000 0.0000 0.5000
Dy3 0.5000 0.5000 0.0000
Y1 0.5000 0.5000 0.5000
Tm1 0.0000 0.0000 0.5000
Tm2 0.0000 0.5000 0.0000
Tm3 0.5000 0.0000 0.0000
Se1 0.2411 0.7552 0.7552
Se2 0.2448 0.2448 0.7589
Se3 0.2448 0.7589 0.2448
Se4 0.2483 0.2483 0.2483
Se5 0.7517 0.7517 0.7517
Se6 0.7552 0.2411 0.7552
Se7 0.7552 0.7552 0.2411
Se8 0.7589 0.2448 0.2448

=====

3.
The following is a DFT calculation (PBE) of a geometry-optimized Y2AlSb structure.

uncorrected formation energy: -1.944 eV/f.u.
M_tot: 0.00 μB per atom
VASP energy: -5.68 eV/atom
V: 414.5 Å³/cell
space group: Fm-3m, No. 225
DOS(E_F): 0.95 states/eV/atom

Unit cell a=7.4558 b=7.4558 c=7.4558 alpha=90.00 beta=90.00 gamma=90.00
Fractional positions:
Y1 0.2500 0.2500 0.2500
Y2 0.2500 0.2500 0.7500
Y3 0.2500 0.7500 0.2500
Y4 0.2500 0.7500 0.7500
Y5 0.7500 0.2500 0.2500
Y6 0.7500 0.2500 0.7500
Y7 0.7500 0.7500 0.2500
Y8 0.7500 0.7500 0.7500
Al1 0.0000 0.0000 0.0000
Al2 0.0000 0.5000 0.5000
Al3 0.5000 0.0000 0.5000
Al4 0.5000 0.5000 0.0000
Sb1 0.0000 0.0000 0.5000
Sb2 0.0000 0.5000 0.0000
Sb3 0.5000 0.0000 0.0000
Sb4 0.5000 0.5000 0.5000

=====

4.
The following is a DFT calculation (PBE) of a geometry-optimized SrScCl2 structure.

uncorrected formation energy: -4.819 eV/f.u.
M_tot: 0.12 μB per atom
VASP energy: -4.13 eV/atom
V: 328.2 Å³/cell
space group: R-3m, No. 166
DOS(E_F): 0.73 states/eV/atom

Unit cell a=3.7552 b=3.7552 c=26.8753 alpha=90.00 beta=90.00 gamma=120.00
Fractional positions:
Sr1 0.0000 0.0000 0.0000
Sr2 0.3333 0.6667 0.6667
Sr3 0.6667 0.3333 0.3333
Sc1 0.0000 0.0000 0.5000
Sc2 0.3333 0.6667 0.1667
Sc3 0.6667 0.3333 0.8333
Cl1 0.0000 0.0000 0.2243
Cl2 0.0000 0.0000 0.7757
Cl3 0.3333 0.6667 0.4424
Cl4 0.3333 0.6667 0.8909
Cl5 0.6667 0.3333 0.1091
Cl6 0.6667 0.3333 0.5576

=====

5.
The following is a DFT calculation (PBE) of a geometry-optimized TaAlAg2Mo structure.

M_tot: 0.00 μB per atom
VASP energy: -5.25 eV/atom
V: 96.2 Å³/cell
energy of formation: 1.1724 eV per atom
space group: P4/mmm, No. 123
DOS(E_F): 0.68 states/eV/atom

Unit cell a=4.5024 b=4.5024 c=4.7467 alpha=90.00 beta=90.00 gamma=90.00
Fractional positions:
Ta1 0.0000 0.0000 0.0000
Al1 0.5000 0.5000 0.5000
Ag1 0.0000 0.5000 0.5000
Ag2 0.5000 0.0000 0.5000
Mo1 0.5000 0.5000 0.0000

=====

6.
The following is a DFT calculation (PBE) of a geometry-optimized Nb6TcN structure.

uncorrected formation energy: -2.823 eV/f.u.
M_tot: 0.00 μB per atom
VASP energy: -10.24 eV/atom
V: 131.2 Å³/cell
space group: P-1, No. 2
DOS(E_F): 0.56 states/eV/atom

Unit cell a=4.7948 b=5.4011 c=5.5063 alpha=96.31 beta=111.89 gamma=91.33
Fractional positions:
Nb1 0.0649 0.2842 0.1490
Nb2 0.2054 0.8477 0.4419
Nb3 0.4096 0.3994 0.7448
Nb4 0.5904 0.6006 0.2552
Nb5 0.7946 0.1523 0.5581
Nb6 0.9351 0.7158 0.8510
Tc1 0.5000 0.0000 0.0000
N1 0.0000 0.5000 0.5000

=====

7.
The following is a DFT calculation (PBE) of a geometry-optimized In12Sn5Hg3 structure.

M_tot: 0.00 μB per atom
VASP energy: -2.56 eV/atom
V: 2551.3 Å³/cell
energy of formation: 0.1303 eV per atom
space group: Ia-3d, No. 230
DOS(E_F): 0.54 states/eV/atom

Unit cell a=14.9094 b=14.9094 c=14.9094 alpha=109.47 beta=109.47 gamma=109.47
Fractional positions:
In1 0.0627 0.2348 0.1276
In2 0.0627 0.3279 0.9352
In3 0.0648 0.6276 0.3928
In4 0.0648 0.9373 0.6721
In5 0.1072 0.7348 0.6721
In6 0.1072 0.8724 0.4352
In7 0.1276 0.0627 0.2348
In8 0.1276 0.5648 0.8928
In9 0.1721 0.2348 0.6072
In10 0.1721 0.4373 0.5648
In11 0.2348 0.1276 0.0627
In12 0.2348 0.6072 0.1721
In13 0.2652 0.3279 0.8928
In14 0.2652 0.4373 0.3724
In15 0.3279 0.8928 0.2652
In16 0.3279 0.9352 0.0627
In17 0.3724 0.2652 0.4373
In18 0.3724 0.6072 0.9352
In19 0.3928 0.0648 0.6276
In20 0.3928 0.8279 0.7652
In21 0.4352 0.1072 0.8724
In22 0.4352 0.8279 0.5627
In23 0.4373 0.3724 0.2652
In24 0.4373 0.5648 0.1721
In25 0.5627 0.4352 0.8279
In26 0.5627 0.6276 0.7348
In27 0.5648 0.1721 0.4373
In28 0.5648 0.8928 0.1276
In29 0.6072 0.1721 0.2348
In30 0.6072 0.9352 0.3724
In31 0.6276 0.3928 0.0648
In32 0.6276 0.7348 0.5627
In33 0.6721 0.0648 0.9373
In34 0.6721 0.1072 0.7348
In35 0.7348 0.5627 0.6276
In36 0.7348 0.6721 0.1072
In37 0.7652 0.3928 0.8279
In38 0.7652 0.8724 0.9373
In39 0.8279 0.5627 0.4352
In40 0.8279 0.7652 0.3928
In41 0.8724 0.4352 0.1072
In42 0.8724 0.9373 0.7652
In43 0.8928 0.1276 0.5648
In44 0.8928 0.2652 0.3279
In45 0.9352 0.0627 0.3279
In46 0.9352 0.3724 0.6072
In47 0.9373 0.6721 0.0648
In48 0.9373 0.7652 0.8724
Sn1 0.0000 0.0000 0.0000
Sn2 0.0000 0.0000 0.5000
Sn3 0.0000 0.5000 0.0000
Sn4 0.0000 0.5000 0.5000
Sn5 0.1250 0.7500 0.8750
Sn6 0.1250 0.8750 0.2500
Sn7 0.2500 0.1250 0.8750
Sn8 0.2500 0.6250 0.3750
Sn9 0.3750 0.2500 0.6250
Sn10 0.3750 0.6250 0.7500
Sn11 0.5000 0.0000 0.0000
Sn12 0.5000 0.0000 0.5000
Sn13 0.5000 0.5000 0.0000
Sn14 0.5000 0.5000 0.5000
Sn15 0.6250 0.3750 0.2500
Sn16 0.6250 0.7500 0.3750
Sn17 0.7500 0.3750 0.6250
Sn18 0.7500 0.8750 0.1250
Sn19 0.8750 0.1250 0.7500
Sn20 0.8750 0.2500 0.1250
Hg1 0.1250 0.2500 0.3750
Hg2 0.1250 0.3750 0.7500
Hg3 0.2500 0.3750 0.1250
Hg4 0.2500 0.8750 0.6250
Hg5 0.3750 0.1250 0.2500
Hg6 0.3750 0.7500 0.1250
Hg7 0.6250 0.2500 0.8750
Hg8 0.6250 0.8750 0.7500
Hg9 0.7500 0.1250 0.3750
Hg10 0.7500 0.6250 0.8750
Hg11 0.8750 0.6250 0.2500
Hg12 0.8750 0.7500 0.6250

=====

8.
The following is a DFT calculation (PBE) of a geometry-optimized SbMoBr2 structure.

uncorrected formation energy: 0.504 eV/f.u.
M_tot: 0.00 μB per atom
VASP energy: -4.45 eV/atom
V: 332.8 Å³/cell
space group: R-3m, No. 166
DOS(E_F): 0.59 states/eV/atom

Unit cell a=3.2815 b=3.2815 c=35.6889 alpha=90.00 beta=90.00 gamma=120.00
Fractional positions:
Sb1 0.0000 0.0000 0.0000
Sb2 0.3333 0.6667 0.6667
Sb3 0.6667 0.3333 0.3333
Mo1 0.0000 0.0000 0.5000
Mo2 0.3333 0.6667 0.1667
Mo3 0.6667 0.3333 0.8333
Br1 0.0000 0.0000 0.1157
Br2 0.0000 0.0000 0.8843
Br3 0.3333 0.6667 0.5509
Br4 0.3333 0.6667 0.7824
Br5 0.6667 0.3333 0.2176
Br6 0.6667 0.3333 0.4491

=====

9.
The following is a DFT calculation (PBE) of a geometry-optimized Rb2Ba4Au structure.

M_tot: 0.00 μB per atom
VASP energy: -1.94 eV/atom
V: 992.1 Å³/cell
energy of formation: -0.1012 eV per atom
space group: I4/mmm, No. 139
DOS(E_F): 1.13 states/eV/atom

Unit cell a=6.5367 b=6.5367 c=23.2192 alpha=90.00 beta=90.00 gamma=90.00
Fractional positions:
Rb1 0.0000 0.0000 0.1601
Rb2 0.0000 0.0000 0.8399
Rb3 0.5000 0.5000 0.3399
Rb4 0.5000 0.5000 0.6601
Ba1 0.0000 0.0000 0.3613
Ba2 0.0000 0.0000 0.6387
Ba3 0.0000 0.5000 0.0000
Ba4 0.0000 0.5000 0.5000
Ba5 0.5000 0.0000 0.0000
Ba6 0.5000 0.0000 0.5000
Ba7 0.5000 0.5000 0.1387
Ba8 0.5000 0.5000 0.8613
Au1 0.0000 0.0000 0.5000
Au2 0.5000 0.5000 0.0000

=====

10.
The following is a DFT calculation (PBE) of a geometry-optimized Tl2HgBr structure.

uncorrected formation energy: -1.121 eV/f.u.
M_tot: 0.00 μB per atom
VASP energy: -1.96 eV/atom
V: 514.6 Å³/cell
space group: Fm-3m, No. 225
DOS(E_F): 0.95 states/eV/atom

Unit cell a=8.0133 b=8.0133 c=8.0133 alpha=90.00 beta=90.00 gamma=90.00
Fractional positions:
Tl1 0.2500 0.2500 0.2500
Tl2 0.2500 0.2500 0.7500
Tl3 0.2500 0.7500 0.2500
Tl4 0.2500 0.7500 0.7500
Tl5 0.7500 0.2500 0.2500
Tl6 0.7500 0.2500 0.7500
Tl7 0.7500 0.7500 0.2500
Tl8 0.7500 0.7500 0.7500
Hg1 0.0000 0.0000 0.0000
Hg2 0.0000 0.5000 0.5000
Hg3 0.5000 0.0000 0.5000
Hg4 0.5000 0.5000 0.0000
Br1 0.0000 0.0000 0.5000
Br2 0.0000 0.5000 0.0000
Br3 0.5000 0.0000 0.0000
Br4 0.5000 0.5000 0.5000

=====

11.
The following is a DFT calculation (PBE) of a geometry-optimized LiAlS structure.

uncorrected formation energy: -1.699 eV/f.u.
M_tot: 0.00 μB per atom
VASP energy: -3.83 eV/atom
V: 107.7 Å³/cell
space group: P-6m2, No. 187
DOS(E_F): 0.28 states/eV/atom

Unit cell a=3.3541 b=3.3541 c=11.0507 alpha=90.00 beta=90.00 gamma=120.00
Fractional positions:
Li1 0.0000 0.0000 0.2123
Li2 0.0000 0.0000 0.7877
Al1 0.0000 0.0000 0.5000
Al2 0.6667 0.3333 0.0000
S1 0.6667 0.3333 0.3644
S2 0.6667 0.3333 0.6357